[1]
A plane-wave DFT calculation with PBE-GGA was carried out for crystalline Cs3NdNp2Se6 at its relaxed geometry.

Its density of states at the Fermi level is 1.65 states/eV per atom. The value obtained for the energy relative to the elements, uncorrected is -133.9 kJ per mole of atoms. The calculation puts the total energy at -141.53 eV per cell.

abc: 7.545 13.068 8.754
angles: 90.00 106.70 90.00
Space group C2/m (No. 12)
Symmetry-distinct sites (fractional):
Cs: 0.000 0.000 0.000 [2 per cell]
Cs: 0.000 0.335 0.000 [4 per cell]
Nd: 0.000 0.500 0.500 [2 per cell]
Np: 0.000 0.167 0.500 [4 per cell]
Se: 0.223 0.000 0.687 [4 per cell]
Se: 0.232 0.330 0.688 [8 per cell]

[2]
A plane-wave DFT calculation with PBE-GGA was carried out for crystalline BaSr2Y at its relaxed geometry.

Its density of states at the Fermi level is 1.65 states/eV per atom. The calculation puts the total energy at -10.99 eV per cell. The calculation puts the energy relative to the lowest polymorph listed for this composition at 0.171 eV per formula unit. As for the formation energy: 0.76 eV/f.u.

abc: 4.132 5.561 8.467
angles: 90.00 90.00 90.00
Space group Pmm2 (No. 25)
Symmetry-distinct sites (fractional):
Ba: 0.000 0.000 0.000 [1 per cell]
Sr: 0.000 0.000 0.539 [1 per cell]
Sr: 0.500 0.500 0.276 [1 per cell]
Y: 0.500 0.500 0.765 [1 per cell]